Record 1
A geometry-optimized Sc2RhSe structure. Source: Alexandria, functional PBE-GGA.

Cell: 6.6176 6.6176 6.6176 Å, 90.00 90.00 90.00°
With the nearest neighbours (Å) after each atom.
Space group F-43m (No. 216)
Inequivalent atoms, fractional coordinates:
Sc: 0.0000 0.0000 0.0000 [4 per cell]  4 Rh 2.87, 4 Sc 2.87
Sc: 0.2500 0.2500 0.2500 [4 per cell]  4 Sc 2.87, 4 Se 2.87
Rh: 0.2500 0.2500 0.7500 [4 per cell]  4 Se 2.87, 4 Sc 2.87
Se: 0.0000 0.0000 0.5000 [4 per cell]  4 Sc 2.87, 4 Rh 2.87

Summary:
Relative energy among the computed polymorphs ... 780 meV/atom
Formation energy (no corrections) ... -0.34 eV/atom
Spin magnetization ... 3.64 μB per cell



Record 2
A geometry-optimized Sc3SO structure. Source: Alexandria, functional PBE-GGA.

Cell: 4.3185 4.3185 4.3185 Å, 90.00 90.00 90.00°
With the nearest neighbours (Å) after each atom.
Space group Pm-3m (No. 221)
Inequivalent atoms, fractional coordinates:
Sc: 0.0000 0.0000 0.5000 [3 per cell]  2 O 2.16
S: 0.5000 0.5000 0.5000 [1 per cell]  12 Sc 3.05
O: 0.0000 0.0000 0.0000 [1 per cell]  6 Sc 2.16

Summary:
Relative energy among the computed polymorphs ... 575 meV/atom
Formation energy (no corrections) ... -1.30 eV/atom
Spin magnetization ... 0.00 μB per cell



Record 3
A geometry-optimized BaTiBiSb2 structure. Source: Alexandria, functional PBE-GGA.

Cell: 5.4072 5.4072 5.5108 Å, 90.00 90.00 90.00°
With the nearest neighbours (Å) after each atom.
Space group P4/mmm (No. 123)
Inequivalent atoms, fractional coordinates:
Ba: 0.0000 0.0000 0.0000 [1 per cell]  4 Bi 3.82, 8 Sb 3.86
Ti: 0.5000 0.5000 0.5000 [1 per cell]  4 Sb 2.70, 2 Bi 2.76
Bi: 0.5000 0.5000 0.0000 [1 per cell]  2 Ti 2.76
Sb: 0.0000 0.5000 0.5000 [2 per cell]  2 Ti 2.70

Summary:
Formation energy (no corrections) ... -0.42 eV/atom
Spin magnetization ... 0.00 μB per cell